Run 1
# SrSb2Te2 PBE optimized geometry
data_SrSb2Te2
_cell_length_a 4.605
_cell_length_b 4.605
_cell_length_c 16.046
_cell_angle_alpha 90.00
_cell_angle_beta 90.00
_cell_angle_gamma 90.00
_space_group_name_H-M_alt 'I 4/m m m'
_space_group_IT_number 139
_space_group_name_Hall '-I 4 2'
loop_
_atom_site_label
_atom_site_type_symbol
_atom_site_fract_x
_atom_site_fract_y
_atom_site_fract_z
Sr1 Sr 0.000 0.000 0.000
Sb1 Sb 0.000 0.000 0.413
Te1 Te 0.000 0.500 0.250
# DOS(E_F): 6.43 states/eV/cell

---

Run 2
# SrSb2Te2 PBE optimized geometry
data_SrSb2Te2
_cell_length_a 4.343
_cell_length_b 4.343
_cell_length_c 17.792
_cell_angle_alpha 90.00
_cell_angle_beta 90.00
_cell_angle_gamma 90.00
_space_group_name_H-M_alt 'I 4/m m m'
_space_group_IT_number 139
_space_group_name_Hall '-I 4 2'
loop_
_atom_site_label
_atom_site_type_symbol
_atom_site_fract_x
_atom_site_fract_y
_atom_site_fract_z
Sr1 Sr 0.000 0.000 0.000
Sb1 Sb 0.000 0.500 0.250
Te1 Te 0.000 0.000 0.412
# DOS(E_F): 1.42 states/eV/cell

---

Run 3
# SrSb2Te2 PBE optimized geometry
data_SrSb2Te2
_cell_length_a 8.643
_cell_length_b 8.643
_cell_length_c 4.408
_cell_angle_alpha 90.00
_cell_angle_beta 90.00
_cell_angle_gamma 90.00
_space_group_name_H-M_alt 'P 4/m b m'
_space_group_IT_number 127
_space_group_name_Hall '-P 4 2ab'
loop_
_atom_site_label
_atom_site_type_symbol
_atom_site_fract_x
_atom_site_fract_y
_atom_site_fract_z
Sr1 Sr 0.000 0.000 0.000
Sb1 Sb 0.130 0.370 0.000
Te1 Te 0.205 0.705 0.500
# DOS(E_F): 4.40 states/eV/cell

---

Run 4
# SrSb2Te2 PBE optimized geometry
data_SrSb2Te2
_cell_length_a 8.864
_cell_length_b 8.864
_cell_length_c 4.255
_cell_angle_alpha 90.00
_cell_angle_beta 90.00
_cell_angle_gamma 90.00
_space_group_name_H-M_alt 'P 4/m b m'
_space_group_IT_number 127
_space_group_name_Hall '-P 4 2ab'
loop_
_atom_site_label
_atom_site_type_symbol
_atom_site_fract_x
_atom_site_fract_y
_atom_site_fract_z
Sr1 Sr 0.000 0.000 0.000
Sb1 Sb 0.195 0.305 0.500
Te1 Te 0.146 0.646 0.000
# DOS(E_F): 3.02 states/eV/cell

---

Name the least stable of them. run 1.

---

Run 1
# SrTiSb2Te PBE optimized geometry
data_SrTiSb2Te
_cell_length_a 5.891
_cell_length_b 5.891
_cell_length_c 5.951
_cell_angle_alpha 90.00
_cell_angle_beta 90.00
_cell_angle_gamma 90.00
_space_group_name_H-M_alt 'P 4/m m m'
_space_group_IT_number 123
_space_group_name_Hall '-P 4 2'
loop_
_atom_site_label
_atom_site_type_symbol
_atom_site_fract_x
_atom_site_fract_y
_atom_site_fract_z
Sr1 Sr 0.000 0.000 0.000
Ti1 Ti 0.500 0.500 0.500
Sb1 Sb 0.000 0.500 0.000
Te1 Te 0.000 0.000 0.500
# DOS(E_F): 6.11 states/eV/cell

---

Run 2
# SrTiSb2Te PBE optimized geometry
data_SrTiSb2Te
_cell_length_a 5.343
_cell_length_b 5.343
_cell_length_c 5.461
_cell_angle_alpha 90.00
_cell_angle_beta 90.00
_cell_angle_gamma 90.00
_space_group_name_H-M_alt 'P 4/m m m'
_space_group_IT_number 123
_space_group_name_Hall '-P 4 2'
loop_
_atom_site_label
_atom_site_type_symbol
_atom_site_fract_x
_atom_site_fract_y
_atom_site_fract_z
Sr1 Sr 0.000 0.000 0.000
Ti1 Ti 0.500 0.500 0.500
Sb1 Sb 0.000 0.500 0.500
Te1 Te 0.500 0.500 0.000
# DOS(E_F): 4.06 states/eV/cell

---

Name the least stable of them. run 1.

---

Run 1
# SrTlSb2Te PBE optimized geometry
data_SrTlSb2Te
_cell_length_a 6.101
_cell_length_b 6.101
_cell_length_c 6.130
_cell_angle_alpha 90.00
_cell_angle_beta 90.00
_cell_angle_gamma 90.00
_space_group_name_H-M_alt 'P 4/m m m'
_space_group_IT_number 123
_space_group_name_Hall '-P 4 2'
loop_
_atom_site_label
_atom_site_type_symbol
_atom_site_fract_x
_atom_site_fract_y
_atom_site_fract_z
Sr1 Sr 0.000 0.000 0.000
Tl1 Tl 0.500 0.500 0.500
Sb1 Sb 0.000 0.500 0.000
Te1 Te 0.000 0.000 0.500
# DOS(E_F): 5.81 states/eV/cell

---

Run 2
# SrTlSb2Te PBE optimized geometry
data_SrTlSb2Te
_cell_length_a 5.687
_cell_length_b 5.687
_cell_length_c 5.933
_cell_angle_alpha 90.00
_cell_angle_beta 90.00
_cell_angle_gamma 90.00
_space_group_name_H-M_alt 'P 4/m m m'
_space_group_IT_number 123
_space_group_name_Hall '-P 4 2'
loop_
_atom_site_label
_atom_site_type_symbol
_atom_site_fract_x
_atom_site_fract_y
_atom_site_fract_z
Sr1 Sr 0.000 0.000 0.000
Tl1 Tl 0.500 0.500 0.500
Sb1 Sb 0.000 0.500 0.500
Te1 Te 0.500 0.500 0.000
# DOS(E_F): 6.77 states/eV/cell

---

Name the least stable of them. run 1.

---

Run 1
# SrVSbTe2 PBE optimized geometry
data_SrVSbTe2
_cell_length_a 5.432
_cell_length_b 5.432
_cell_length_c 5.118
_cell_angle_alpha 90.00
_cell_angle_beta 90.00
_cell_angle_gamma 90.00
_space_group_name_H-M_alt 'P 4/m m m'
_space_group_IT_number 123
_space_group_name_Hall '-P 4 2'
loop_
_atom_site_label
_atom_site_type_symbol
_atom_site_fract_x
_atom_site_fract_y
_atom_site_fract_z
Sr1 Sr 0.000 0.000 0.000
V1 V 0.500 0.500 0.500
Sb1 Sb 0.500 0.500 0.000
Te1 Te 0.000 0.500 0.500
# DOS(E_F): 4.35 states/eV/cell

---

Run 2
# SrVSbTe2 PBE optimized geometry
data_SrVSbTe2
_cell_length_a 6.039
_cell_length_b 6.039
_cell_length_c 5.951
_cell_angle_alpha 90.00
_cell_angle_beta 90.00
_cell_angle_gamma 90.00
_space_group_name_H-M_alt 'P 4/m m m'
_space_group_IT_number 123
_space_group_name_Hall '-P 4 2'
loop_
_atom_site_label
_atom_site_type_symbol
_atom_site_fract_x
_atom_site_fract_y
_atom_site_fract_z
Sr1 Sr 0.000 0.000 0.000
V1 V 0.500 0.500 0.500
Sb1 Sb 0.000 0.000 0.500
Te1 Te 0.000 0.500 0.000
# DOS(E_F): 10.94 states/eV/cell

---

Name the least stable of them. run 2.

---

Run 1
# SrSb2TeW PBE optimized geometry
data_SrSb2TeW
_cell_length_a 5.816
_cell_length_b 5.816
_cell_length_c 5.787
_cell_angle_alpha 90.00
_cell_angle_beta 90.00
_cell_angle_gamma 90.00
_space_group_name_H-M_alt 'P 4/m m m'
_space_group_IT_number 123
_space_group_name_Hall '-P 4 2'
loop_
_atom_site_label
_atom_site_type_symbol
_atom_site_fract_x
_atom_site_fract_y
_atom_site_fract_z
Sr1 Sr 0.000 0.000 0.000
Sb1 Sb 0.000 0.500 0.000
Te1 Te 0.000 0.000 0.500
W1 W 0.500 0.500 0.500
# DOS(E_F): 8.18 states/eV/cell

---

Run 2
# SrSb2TeW PBE optimized geometry
data_SrSb2TeW
_cell_length_a 5.183
_cell_length_b 5.183
_cell_length_c 6.040
_cell_angle_alpha 90.00
_cell_angle_beta 90.00
_cell_angle_gamma 90.00
_space_group_name_H-M_alt 'P 4/m m m'
_space_group_IT_number 123
_space_group_name_Hall '-P 4 2'
loop_
_atom_site_label
_atom_site_type_symbol
_atom_site_fract_x
_atom_site_fract_y
_atom_site_fract_z
Sr1 Sr 0.000 0.000 0.000
Sb1 Sb 0.000 0.500 0.500
Te1 Te 0.500 0.500 0.000
W1 W 0.500 0.500 0.500
# DOS(E_F): 4.31 states/eV/cell

---

Name the least stable of them. run 1.

---

Run 1
# SrYSbTe2 PBE optimized geometry
data_SrYSbTe2
_cell_length_a 5.930
_cell_length_b 5.930
_cell_length_c 5.796
_cell_angle_alpha 90.00
_cell_angle_beta 90.00
_cell_angle_gamma 90.00
_space_group_name_H-M_alt 'P 4/m m m'
_space_group_IT_number 123
_space_group_name_Hall '-P 4 2'
loop_
_atom_site_label
_atom_site_type_symbol
_atom_site_fract_x
_atom_site_fract_y
_atom_site_fract_z
Sr1 Sr 0.000 0.000 0.000
Y1 Y 0.500 0.500 0.500
Sb1 Sb 0.000 0.000 0.500
Te1 Te 0.000 0.500 0.000
# DOS(E_F): 4.31 states/eV/cell

---

Run 2
# SrYSbTe2 PBE optimized geometry
data_SrYSbTe2
_cell_length_a 5.855
_cell_length_b 5.855
_cell_length_c 5.776
_cell_angle_alpha 90.00
_cell_angle_beta 90.00
_cell_angle_gamma 90.00
_space_group_name_H-M_alt 'P 4/m m m'
_space_group_IT_number 123
_space_group_name_Hall '-P 4 2'
loop_
_atom_site_label
_atom_site_type_symbol
_atom_site_fract_x
_atom_site_fract_y
_atom_site_fract_z
Sr1 Sr 0.000 0.000 0.000
Y1 Y 0.500 0.500 0.500
Sb1 Sb 0.500 0.500 0.000
Te1 Te 0.000 0.500 0.500
# DOS(E_F): 4.97 states/eV/cell

---

Name the least stable of them. run 1.